1.
# NdGa2Cu8 | Alexandria | PBE-GGA | relaxed
# Size of the total moment ... 0.000 μB per formula unit
# Density of states at the Fermi level ... 0.335 states/eV/atom
# Energy relative to the elements ... 0.17 eV per atom
# Space-group type ... No. 123
# VASP energy ... -41.742 eV for the cell shown
data_NdGa2Cu8
_symmetry_space_group_name_H-M 'P 1'
_symmetry_Int_Tables_number 1
_cell_length_a 6.270
_cell_length_b 6.270
_cell_length_c 4.771
_cell_angle_alpha 90.00
_cell_angle_beta 90.00
_cell_angle_gamma 90.00
loop_
_symmetry_equiv_pos_as_xyz
'x,y,z'
loop_
_atom_site_label
_atom_site_type_symbol
_atom_site_fract_x
_atom_site_fract_y
_atom_site_fract_z
_atom_site_occupancy
Ga1 Ga 0.500 0.000 0.000 1
Cu1 Cu 0.194 0.806 0.250 1
Cu2 Cu 0.806 0.806 0.250 1
Ga2 Ga 0.000 0.500 0.000 1
Cu3 Cu 0.806 0.194 0.250 1
Cu4 Cu 0.806 0.806 0.750 1
Cu5 Cu 0.194 0.806 0.750 1
Cu6 Cu 0.806 0.194 0.750 1
Cu7 Cu 0.194 0.194 0.250 1
Nd1 Nd 0.500 0.500 0.500 1
Cu8 Cu 0.194 0.194 0.750 1

***

2.
# Nd2GaCu9 | Alexandria | PBE-GGA | relaxed
# Size of the total moment ... 0.000 μB per formula unit
# Density of states at the Fermi level ... 0.559 states/eV/atom
# Energy relative to the elements ... -0.03 eV per atom
# Space-group type ... No. 166
# VASP energy ... -49.735 eV for the cell shown
data_Nd2GaCu9
_symmetry_space_group_name_H-M 'P 1'
_symmetry_Int_Tables_number 1
_cell_length_a 5.148
_cell_length_b 5.148
_cell_length_c 8.878
_cell_angle_alpha 73.15
_cell_angle_beta 73.15
_cell_angle_gamma 60.00
loop_
_symmetry_equiv_pos_as_xyz
'x,y,z'
loop_
_atom_site_label
_atom_site_type_symbol
_atom_site_fract_x
_atom_site_fract_y
_atom_site_fract_z
_atom_site_occupancy
Ga1 Ga 0.000 0.000 0.000 1
Nd1 Nd 0.134 0.134 0.598 1
Cu1 Cu 0.333 0.333 0.001 1
Cu2 Cu 0.921 0.420 0.239 1
Cu3 Cu 0.079 0.580 0.761 1
Nd2 Nd 0.866 0.866 0.402 1
Cu4 Cu 0.580 0.580 0.761 1
Cu5 Cu 0.580 0.079 0.761 1
Cu6 Cu 0.500 0.500 0.500 1
Cu7 Cu 0.420 0.921 0.239 1
Cu8 Cu 0.420 0.420 0.239 1
Cu9 Cu 0.667 0.667 0.999 1

***

3.
# NdGaCu4 | Alexandria | PBE-GGA | relaxed
# Size of the total moment ... 0.000 μB per formula unit
# Density of states at the Fermi level ... 0.417 states/eV/atom
# Energy relative to the elements ... -0.04 eV per atom
# Space-group type ... No. 63
# VASP energy ... -48.887 eV for the cell shown
data_NdGaCu4
_symmetry_space_group_name_H-M 'P 1'
_symmetry_Int_Tables_number 1
_cell_length_a 4.731
_cell_length_b 6.811
_cell_length_c 6.826
_cell_angle_alpha 90.00
_cell_angle_beta 110.27
_cell_angle_gamma 90.00
loop_
_symmetry_equiv_pos_as_xyz
'x,y,z'
loop_
_atom_site_label
_atom_site_type_symbol
_atom_site_fract_x
_atom_site_fract_y
_atom_site_fract_z
_atom_site_occupancy
Cu1 Cu 0.000 0.000 0.000 1
Nd1 Nd 0.606 0.250 0.213 1
Cu2 Cu 0.211 0.070 0.423 1
Cu3 Cu 0.622 0.750 0.245 1
Cu4 Cu 0.211 0.430 0.423 1
Nd2 Nd 0.394 0.750 0.787 1
Cu5 Cu 0.378 0.250 0.755 1
Ga1 Ga 0.134 0.750 0.268 1
Cu6 Cu 0.789 0.930 0.577 1
Cu7 Cu 0.000 0.500 0.000 1
Ga2 Ga 0.866 0.250 0.732 1
Cu8 Cu 0.789 0.570 0.577 1

***

4.
# Nd2GaCu7 | Alexandria | PBE-GGA | relaxed
# Size of the total moment ... 0.000 μB per formula unit
# Density of states at the Fermi level ... 0.329 states/eV/atom
# Energy relative to the elements ... -0.19 eV per atom
# Space-group type ... No. 115
# VASP energy ... -43.087 eV for the cell shown
data_Nd2GaCu7
_symmetry_space_group_name_H-M 'P 1'
_symmetry_Int_Tables_number 1
_cell_length_a 4.102
_cell_length_b 4.102
_cell_length_c 10.221
_cell_angle_alpha 90.00
_cell_angle_beta 90.00
_cell_angle_gamma 90.00
loop_
_symmetry_equiv_pos_as_xyz
'x,y,z'
loop_
_atom_site_label
_atom_site_type_symbol
_atom_site_fract_x
_atom_site_fract_y
_atom_site_fract_z
_atom_site_occupancy
Cu1 Cu 0.000 0.000 0.500 1
Cu2 Cu 0.000 0.500 0.864 1
Nd1 Nd 0.000 0.500 0.257 1
Cu3 Cu 0.500 0.000 0.371 1
Cu4 Cu 0.500 0.500 0.500 1
Cu5 Cu 0.000 0.000 0.000 1
Ga1 Ga 0.500 0.500 0.000 1
Cu6 Cu 0.500 0.000 0.136 1
Cu7 Cu 0.000 0.500 0.629 1
Nd2 Nd 0.500 0.000 0.743 1

***

5.
# NdGa3Cu5 | Alexandria | PBE-GGA | relaxed
# Size of the total moment ... 0.000 μB per formula unit
# Density of states at the Fermi level ... 0.416 states/eV/atom
# Energy relative to the elements ... -0.23 eV per atom
# Space-group type ... No. 63
# VASP energy ... -72.841 eV for the cell shown
data_NdGa3Cu5
_symmetry_space_group_name_H-M 'P 1'
_symmetry_Int_Tables_number 1
_cell_length_a 3.972
_cell_length_b 6.595
_cell_length_c 11.780
_cell_angle_alpha 90.00
_cell_angle_beta 90.00
_cell_angle_gamma 107.52
loop_
_symmetry_equiv_pos_as_xyz
'x,y,z'
loop_
_atom_site_label
_atom_site_type_symbol
_atom_site_fract_x
_atom_site_fract_y
_atom_site_fract_z
_atom_site_occupancy
Nd1 Nd 0.823 0.645 0.750 1
Cu1 Cu 0.551 0.103 0.855 1
Cu2 Cu 0.000 0.000 0.500 1
Ga1 Ga 0.621 0.242 0.448 1
Ga2 Ga 0.111 0.222 0.750 1
Nd2 Nd 0.177 0.355 0.250 1
Cu3 Cu 0.449 0.897 0.145 1
Ga3 Ga 0.379 0.758 0.948 1
Cu4 Cu 0.810 0.620 0.060 1
Cu5 Cu 0.810 0.620 0.440 1
Ga4 Ga 0.379 0.758 0.552 1
Cu6 Cu 0.190 0.380 0.940 1
Ga5 Ga 0.889 0.778 0.250 1
Cu7 Cu 0.000 0.000 0.000 1
Cu8 Cu 0.190 0.380 0.560 1
Cu9 Cu 0.551 0.103 0.645 1
Ga6 Ga 0.621 0.242 0.052 1
Cu10 Cu 0.449 0.897 0.355 1

***

6.
# NdGa12Cu7 | Alexandria | PBE-GGA | relaxed
# Size of the total moment ... 0.000 μB per formula unit
# Density of states at the Fermi level ... 0.390 states/eV/atom
# Energy relative to the elements ... 0.03 eV per atom
# Space-group type ... No. 204
# VASP energy ... -69.071 eV for the cell shown
data_NdGa12Cu7
_symmetry_space_group_name_H-M 'P 1'
_symmetry_Int_Tables_number 1
_cell_length_a 7.840
_cell_length_b 7.840
_cell_length_c 7.840
_cell_angle_alpha 109.47
_cell_angle_beta 109.47
_cell_angle_gamma 109.47
loop_
_symmetry_equiv_pos_as_xyz
'x,y,z'
loop_
_atom_site_label
_atom_site_type_symbol
_atom_site_fract_x
_atom_site_fract_y
_atom_site_fract_z
_atom_site_occupancy
Cu1 Cu 0.000 0.500 0.000 1
Nd1 Nd 0.000 0.000 0.000 1
Ga1 Ga 0.114 0.341 0.773 1
Ga2 Ga 0.659 0.773 0.431 1
Ga3 Ga 0.659 0.227 0.886 1
Ga4 Ga 0.569 0.341 0.227 1
Cu2 Cu 0.500 0.000 0.000 1
Ga5 Ga 0.886 0.659 0.227 1
Cu3 Cu 0.500 0.000 0.500 1
Cu4 Cu 0.000 0.000 0.500 1
Cu5 Cu 0.500 0.500 0.000 1
Cu6 Cu 0.000 0.500 0.500 1
Cu7 Cu 0.500 0.500 0.500 1
Ga6 Ga 0.341 0.773 0.114 1
Ga7 Ga 0.227 0.569 0.341 1
Ga8 Ga 0.773 0.431 0.659 1
Ga9 Ga 0.227 0.886 0.659 1
Ga10 Ga 0.773 0.114 0.341 1
Ga11 Ga 0.431 0.659 0.773 1
Ga12 Ga 0.341 0.227 0.569 1

***

7.
# Nd3Ga3Cu | Alexandria | PBE-GGA | relaxed
# Size of the total moment ... 0.000 μB per formula unit
# Density of states at the Fermi level ... 0.758 states/eV/atom
# Energy relative to the elements ... -0.52 eV per atom
# Space-group type ... No. 12
# VASP energy ... -62.306 eV for the cell shown
data_Nd3Ga3Cu
_symmetry_space_group_name_H-M 'P 1'
_symmetry_Int_Tables_number 1
_cell_length_a 4.491
_cell_length_b 5.863
_cell_length_c 14.000
_cell_angle_alpha 86.69
_cell_angle_beta 80.77
_cell_angle_gamma 67.48
loop_
_symmetry_equiv_pos_as_xyz
'x,y,z'
loop_
_atom_site_label
_atom_site_type_symbol
_atom_site_fract_x
_atom_site_fract_y
_atom_site_fract_z
_atom_site_occupancy
Ga1 Ga 0.955 0.857 0.233 1
Ga2 Ga 0.110 0.858 0.923 1
Ga3 Ga 0.868 0.721 0.543 1
Nd1 Nd 0.753 0.724 0.769 1
Cu1 Cu 0.254 0.885 0.606 1
Ga4 Ga 0.132 0.279 0.457 1
Ga5 Ga 0.045 0.143 0.767 1
Nd2 Nd 0.247 0.276 0.231 1
Nd3 Nd 0.603 0.717 0.077 1
Cu2 Cu 0.746 0.115 0.394 1
Ga6 Ga 0.890 0.142 0.077 1
Nd4 Nd 0.397 0.283 0.923 1
Nd5 Nd 0.448 0.718 0.386 1
Nd6 Nd 0.552 0.282 0.614 1

***

8.
# Nd5Ga2Cu2 | Alexandria | PBE-GGA | relaxed
# Size of the total moment ... 0.000 μB per formula unit
# Density of states at the Fermi level ... 0.939 states/eV/atom
# Energy relative to the elements ... -0.26 eV per atom
# Space-group type ... No. 64
# VASP energy ... -80.794 eV for the cell shown
data_Nd5Ga2Cu2
_symmetry_space_group_name_H-M 'P 1'
_symmetry_Int_Tables_number 1
_cell_length_a 8.468
_cell_length_b 7.154
_cell_length_c 8.655
_cell_angle_alpha 114.41
_cell_angle_beta 90.00
_cell_angle_gamma 90.00
loop_
_symmetry_equiv_pos_as_xyz
'x,y,z'
loop_
_atom_site_label
_atom_site_type_symbol
_atom_site_fract_x
_atom_site_fract_y
_atom_site_fract_z
_atom_site_occupancy
Nd1 Nd 0.677 0.300 0.277 1
Nd2 Nd 0.323 0.977 0.277 1
Nd3 Nd 0.323 0.700 0.723 1
Nd4 Nd 0.677 0.023 0.723 1
Cu1 Cu 0.387 0.115 0.000 1
Nd5 Nd 0.500 0.500 0.000 1
Ga1 Ga 0.000 0.205 0.410 1
Nd6 Nd 0.823 0.523 0.723 1
Nd7 Nd 0.177 0.477 0.277 1
Ga2 Ga 0.000 0.795 0.590 1
Nd8 Nd 0.823 0.800 0.277 1
Cu2 Cu 0.887 0.385 0.000 1
Nd9 Nd 0.000 0.000 0.000 1
Cu3 Cu 0.113 0.615 0.000 1
Ga3 Ga 0.500 0.295 0.590 1
Cu4 Cu 0.613 0.885 0.000 1
Ga4 Ga 0.500 0.705 0.410 1
Nd10 Nd 0.177 0.200 0.723 1

***

9.
# Nd8GaCu2 | Alexandria | PBE-GGA | relaxed
# Size of the total moment ... 0.000 μB per formula unit
# Density of states at the Fermi level ... 1.388 states/eV/atom
# Energy relative to the elements ... -0.04 eV per atom
# Space-group type ... No. 8
# VASP energy ... -49.844 eV for the cell shown
data_Nd8GaCu2
_symmetry_space_group_name_H-M 'P 1'
_symmetry_Int_Tables_number 1
_cell_length_a 5.503
_cell_length_b 8.211
_cell_length_c 8.211
_cell_angle_alpha 114.77
_cell_angle_beta 99.32
_cell_angle_gamma 99.32
loop_
_symmetry_equiv_pos_as_xyz
'x,y,z'
loop_
_atom_site_label
_atom_site_type_symbol
_atom_site_fract_x
_atom_site_fract_y
_atom_site_fract_z
_atom_site_occupancy
Nd1 Nd 0.580 0.081 0.323 1
Nd2 Nd 0.813 0.617 0.617 1
Nd3 Nd 0.580 0.323 0.081 1
Nd4 Nd 0.000 0.766 0.239 1
Nd5 Nd 0.000 0.239 0.766 1
Cu1 Cu 0.501 0.694 0.314 1
Nd6 Nd 0.187 0.389 0.389 1
Nd7 Nd 0.419 0.684 0.925 1
Cu2 Cu 0.501 0.314 0.694 1
Ga1 Ga 0.999 0.003 0.003 1
Nd8 Nd 0.419 0.925 0.684 1

***

10.
# Nd12Ga6Cu | Alexandria | PBE-GGA | relaxed
# Size of the total moment ... 0.000 μB per formula unit
# Density of states at the Fermi level ... 1.514 states/eV/atom
# Energy relative to the elements ... -0.14 eV per atom
# Space-group type ... No. 148
# VASP energy ... -82.175 eV for the cell shown
data_Nd12Ga6Cu
_symmetry_space_group_name_H-M 'P 1'
_symmetry_Int_Tables_number 1
_cell_length_a 8.700
_cell_length_b 8.700
_cell_length_c 8.700
_cell_angle_alpha 100.82
_cell_angle_beta 100.82
_cell_angle_gamma 100.82
loop_
_symmetry_equiv_pos_as_xyz
'x,y,z'
loop_
_atom_site_label
_atom_site_type_symbol
_atom_site_fract_x
_atom_site_fract_y
_atom_site_fract_z
_atom_site_occupancy
Cu1 Cu 0.000 0.000 0.000 1
Nd1 Nd 0.179 0.423 0.562 1
Nd2 Nd 0.048 0.679 0.935 1
Ga1 Ga 0.136 0.623 0.305 1
Nd3 Nd 0.423 0.562 0.179 1
Ga2 Ga 0.377 0.695 0.864 1
Nd4 Nd 0.952 0.321 0.065 1
Nd5 Nd 0.821 0.577 0.438 1
Nd6 Nd 0.577 0.438 0.821 1
Ga3 Ga 0.695 0.864 0.377 1
Nd7 Nd 0.562 0.179 0.423 1
Nd8 Nd 0.935 0.048 0.679 1
Ga4 Ga 0.305 0.136 0.623 1
Ga5 Ga 0.623 0.305 0.136 1
Ga6 Ga 0.864 0.377 0.695 1
Nd9 Nd 0.321 0.065 0.952 1
Nd10 Nd 0.065 0.952 0.321 1
Nd11 Nd 0.438 0.821 0.577 1
Nd12 Nd 0.679 0.935 0.048 1